Entry 1:
The following is a GGA-PBE calculation of a relaxed structure of CsNbTe2N, from Alexandria via LeMat-Bulk.

Output
The calculation puts the calculated volume at 28.23 A^3/atom. The calculation puts the density of states at the Fermi level at 3.9 states/eV per cell. For the total energy, the calculation gives -5.30 eV/atom. For the uncorrected formation energy, the calculation gives -0.194 eV/atom. The value obtained for the relative energy among the computed polymorphs is 0.0 meV per atom.

Cell: 5.9531 5.9531 3.9821 Å, 90.00 90.00 90.00°
Atoms (fractional coordinates):
Cs 0.0000 0.0000 0.0000
Nb 0.5000 0.5000 0.5000
Te 0.0000 0.5000 0.5000
Te 0.5000 0.0000 0.5000
N 0.5000 0.5000 0.0000


Entry 2:
The following is a GGA-PBE calculation of a relaxed structure of KPaTe3Pd, from Alexandria via LeMat-Bulk.

Output
The calculation puts the calculated volume at 32.05 A^3/atom. The calculation puts the density of states at the Fermi level at 0.7 states/eV per cell. For the total energy, the calculation gives -5.12 eV/atom. For the uncorrected formation energy, the calculation gives -0.923 eV/atom.

Cell: 8.2677 8.2677 11.1168 Å, 90.00 90.00 149.59°
Atoms (fractional coordinates):
K 0.2462 0.7538 0.7500
K 0.7538 0.2462 0.2500
Pa 0.0000 0.0000 0.0000
Pa 0.0000 0.0000 0.5000
Te 0.0734 0.9266 0.2500
Te 0.3704 0.6296 0.0538
Te 0.3704 0.6296 0.4462
Te 0.6296 0.3704 0.5538
Te 0.6296 0.3704 0.9462
Te 0.9266 0.0734 0.7500
Pd 0.4711 0.5289 0.2500
Pd 0.5289 0.4711 0.7500


Entry 3:
The following is a GGA-PBE calculation of a relaxed structure of BaTi2N2, from Alexandria via LeMat-Bulk.

Output
The calculation puts the calculated volume at 14.75 A^3/atom. The calculation puts the density of states at the Fermi level at 8.5 states/eV per cell. For the total energy, the calculation gives -6.62 eV/atom. For the uncorrected formation energy, the calculation gives 0.249 eV/atom. The value obtained for the relative energy among the computed polymorphs is 1213.9 meV per atom.

Cell: 7.0864 7.0864 2.9378 Å, 90.00 90.00 90.00°
Atoms (fractional coordinates):
Ba 0.0000 0.0000 0.0000
Ba 0.5000 0.5000 0.0000
Ti 0.1120 0.3880 0.0000
Ti 0.3880 0.8880 0.0000
Ti 0.6120 0.1120 0.0000
Ti 0.8880 0.6120 0.0000
N 0.1272 0.6272 0.5000
N 0.3728 0.1272 0.5000
N 0.6272 0.8728 0.5000
N 0.8728 0.3728 0.5000


Entry 4:
The following is a GGA-PBE calculation of a relaxed structure of DyGaPdAu, from Alexandria via LeMat-Bulk.

Output
As for the formation energy: -2.84 eV/f.u. The calculation puts the calculated volume at 19.20 A^3/atom. The calculation puts the density of states at the Fermi level at 1.7 states/eV per cell. For the total energy, the calculation gives -4.73 eV/atom.

Cell: 4.7712 4.7712 4.7712 Å, 60.00 60.00 60.00°
Atoms (fractional coordinates):
Dy 0.0000 0.0000 0.0000
Ga 0.5000 0.5000 0.5000
Pd 0.7500 0.7500 0.7500
Au 0.2500 0.2500 0.2500